No. 1
Compound: NdCd12Pt6
Source: the Alexandria database
Functional: PBE-GGA
Structure: relaxed

**DFT formation energy**: -212 meV/atom
**M_tot**: 0.000 μB/atom

a = 7.817 Å, b = 7.817 Å, c = 7.817 Å
α = 105.71°, β = 105.71°, γ = 105.71°
Fractional coordinates of all 19 atoms:
Cd 0.115 0.500 0.885
Cd 0.115 0.885 0.500
Cd 0.859 0.608 0.608
Cd 0.608 0.608 0.859
Cd 0.608 0.859 0.608
Cd 0.500 0.115 0.885
Cd 0.392 0.392 0.141
Cd 0.392 0.141 0.392
Cd 0.885 0.500 0.115
Cd 0.500 0.885 0.115
Cd 0.141 0.392 0.392
Cd 0.885 0.115 0.500
Pt 0.280 0.280 0.704
Pt 0.296 0.720 0.720
Pt 0.720 0.720 0.296
Pt 0.720 0.296 0.720
Pt 0.280 0.704 0.280
Pt 0.704 0.280 0.280
Nd 0.000 0.000 0.000

=====

No. 2
Compound: Nd12Cd6Pt
Source: the Alexandria database
Functional: PBE-GGA
Structure: relaxed

**DFT formation energy**: -182 meV/atom
**M_tot**: 0.000 μB/atom

a = 8.247 Å, b = 8.247 Å, c = 8.247 Å
α = 89.49°, β = 89.49°, γ = 89.49°
Fractional coordinates of all 19 atoms:
Cd 0.740 0.265 0.110
Cd 0.890 0.260 0.735
Cd 0.110 0.740 0.265
Cd 0.735 0.890 0.260
Cd 0.265 0.110 0.740
Cd 0.260 0.735 0.890
Nd 0.643 0.978 0.864
Nd 0.472 0.552 0.195
Nd 0.978 0.864 0.643
Nd 0.864 0.643 0.978
Nd 0.805 0.528 0.448
Nd 0.022 0.136 0.357
Nd 0.357 0.022 0.136
Nd 0.136 0.357 0.022
Nd 0.528 0.448 0.805
Nd 0.552 0.195 0.472
Nd 0.195 0.472 0.552
Nd 0.448 0.805 0.528
Pt 0.000 0.000 0.000

=====

No. 3
Compound: NdCd4Pt2
Source: the Alexandria database
Functional: PBE-GGA
Structure: relaxed

**DFT formation energy**: -463 meV/atom
**E above lowest polymorph**: 0.24 eV/f.u.
**M_tot**: 0.000 μB/atom

a = 4.006 Å, b = 4.322 Å, c = 9.187 Å
α = 103.61°, β = 90.00°, γ = 90.00°
Fractional coordinates of all 7 atoms:
Cd 0.000 0.315 0.630
Cd 0.500 0.826 0.652
Cd 0.000 0.685 0.370
Cd 0.500 0.174 0.348
Pt 0.500 0.427 0.854
Pt 0.500 0.573 0.146
Nd 0.000 0.000 0.000

=====

No. 4
Compound: Nd8Cd2Pt
Source: the Alexandria database
Functional: PBE-GGA
Structure: relaxed

**DFT formation energy**: -279 meV/atom
**M_tot**: 0.000 μB/atom

a = 5.338 Å, b = 7.011 Å, c = 9.698 Å
α = 102.16°, β = 105.98°, γ = 90.00°
Fractional coordinates of all 11 atoms:
Cd 0.811 0.262 0.622
Cd 0.189 0.738 0.378
Nd 0.980 0.224 0.959
Nd 0.410 0.560 0.820
Nd 0.348 0.039 0.696
Nd 0.652 0.961 0.304
Nd 0.797 0.697 0.593
Nd 0.590 0.440 0.180
Nd 0.203 0.303 0.407
Nd 0.020 0.776 0.041
Pt 0.500 0.000 0.000

=====

No. 5
Compound: Nd4CdPt
Source: the Alexandria database
Functional: PBE-GGA
Structure: relaxed

**DFT formation energy**: -319 meV/atom
**E above lowest polymorph**: 1.35 eV/f.u.
**M_tot**: 0.000 μB/atom

a = 7.265 Å, b = 7.463 Å, c = 7.450 Å
α = 90.00°, β = 94.31°, γ = 90.00°
Fractional coordinates of all 12 atoms:
Nd 0.882 0.645 0.168
Nd 0.181 0.837 0.648
Nd 0.681 0.663 0.648
Nd 0.819 0.163 0.352
Nd 0.382 0.855 0.168
Nd 0.319 0.337 0.352
Nd 0.618 0.145 0.832
Nd 0.118 0.355 0.832
Pt 0.000 0.500 0.500
Pt 0.500 0.000 0.500
Cd 0.500 0.500 0.000
Cd 0.000 0.000 0.000

=====

No. 6
Compound: Nd3CdPt
Source: the Alexandria database
Functional: PBE-GGA
Structure: relaxed

**DFT formation energy**: -558 meV/atom
**M_tot**: 0.000 μB/atom

a = 5.989 Å, b = 6.990 Å, c = 9.051 Å
α = 112.77°, β = 77.14°, γ = 125.56°
Fractional coordinates of all 10 atoms:
Nd 0.117 0.413 0.708
Nd 0.121 0.204 0.287
Nd 0.501 0.797 0.093
Nd 0.879 0.796 0.713
Nd 0.883 0.587 0.292
Nd 0.499 0.203 0.907
Cd 0.498 0.800 0.500
Cd 0.502 0.200 0.500
Pt 0.001 0.254 0.000
Pt 0.999 0.746 0.000

=====

No. 7
Compound: NdCd3Pt8
Source: the Alexandria database
Functional: PBE-GGA
Structure: relaxed

**DFT formation energy**: -485 meV/atom
**M_tot**: 0.000 μB/atom

a = 5.411 Å, b = 5.411 Å, c = 9.331 Å
α = 73.14°, β = 73.14°, γ = 60.00°
Fractional coordinates of all 12 atoms:
Pt 0.439 0.939 0.183
Pt 0.436 0.939 0.687
Pt 0.439 0.439 0.183
Pt 0.188 0.188 0.435
Pt 0.939 0.436 0.687
Pt 0.688 0.688 0.935
Pt 0.939 0.939 0.687
Pt 0.939 0.439 0.183
Cd 0.005 0.005 0.985
Cd 0.490 0.490 0.529
Cd 0.372 0.372 0.885
Nd 0.877 0.877 0.370

=====

No. 8
Compound: Nd7Cd2Pt2
Source: the Alexandria database
Functional: PBE-GGA
Structure: relaxed

**DFT formation energy**: -429 meV/atom
**M_tot**: 0.000 μB/atom

a = 7.050 Å, b = 7.385 Å, c = 7.050 Å
α = 89.99°, β = 107.41°, γ = 90.01°
Fractional coordinates of all 11 atoms:
Pt 0.289 0.000 0.711
Pt 0.711 0.000 0.289
Nd 0.500 0.744 0.000
Nd 0.000 0.744 0.500
Nd 0.000 0.000 0.000
Nd 0.500 0.250 0.500
Nd 0.500 0.256 0.000
Nd 0.500 0.750 0.500
Nd 0.000 0.256 0.500
Cd 0.830 0.500 0.830
Cd 0.170 0.500 0.170